1.
DFT (GGA-PBEsol) results for a relaxed BeHSeBr2 crystal. Values from VASP.

Calculated values
Its space group is P4/mmm. The calculation puts the offset from the most stable computed form at 0.00 eV per formula unit. The value obtained for the total energy is -12.6 eV/cell.

Cell and atoms, written as Quantum ESPRESSO input:
```
&SYSTEM
  ibrav = 0, nat = 5, ntyp = 4
/
ATOMIC_SPECIES
Be 9.01 Be.upf
H 1.01 H.upf
Se 78.96 Se.upf
Br 79.90 Br.upf
CELL_PARAMETERS angstrom
4.866 0.000 0.000
0.000 4.866 0.000
0.000 0.000 4.393
ATOMIC_POSITIONS angstrom
Be 0.000 0.000 0.000
H 2.433 2.433 2.197
Se 0.000 0.000 2.197
Br 0.000 2.433 0.000
Br 2.433 0.000 0.000
```



2.
DFT (GGA-PBEsol) results for a relaxed Cs2HgBiCl6 crystal. Values from VASP.

Calculated values
Its space group is Fm-3m. The value obtained for the total energy is -31.5 eV/cell. As for the raw formation energy: -1.276 eV per atom.

Cell and atoms, written as Quantum ESPRESSO input:
```
&SYSTEM
  ibrav = 0, nat = 10, ntyp = 4
/
ATOMIC_SPECIES
Cs 132.91 Cs.upf
Hg 200.59 Hg.upf
Bi 208.98 Bi.upf
Cl 35.45 Cl.upf
CELL_PARAMETERS angstrom
0.000 5.479 5.479
5.479 0.000 5.479
5.479 5.479 0.000
ATOMIC_POSITIONS angstrom
Cs 2.740 2.740 2.740
Cs 8.219 8.219 8.219
Hg 0.000 0.000 0.000
Bi 5.479 5.479 5.479
Cl 5.479 5.479 2.788
Cl 5.479 2.788 5.479
Cl 8.170 5.479 5.479
Cl 2.788 5.479 5.479
Cl 5.479 8.170 5.479
Cl 5.479 5.479 8.170
```



3.
DFT (GGA-PBEsol) results for a relaxed HfZnPS2 crystal. Values from VASP.

Calculated values
Its space group is P4/mmm. The value obtained for the total energy is -27.0 eV/cell. As for the raw formation energy: -0.067 eV per atom.

Cell and atoms, written as Quantum ESPRESSO input:
```
&SYSTEM
  ibrav = 0, nat = 5, ntyp = 4
/
ATOMIC_SPECIES
Hf 178.49 Hf.upf
Zn 65.41 Zn.upf
P 30.97 P.upf
S 32.06 S.upf
CELL_PARAMETERS angstrom
4.802 0.000 0.000
0.000 4.802 0.000
0.000 0.000 5.092
ATOMIC_POSITIONS angstrom
Hf 0.000 0.000 0.000
Zn 2.401 2.401 2.546
P 0.000 0.000 2.546
S 0.000 2.401 0.000
S 2.401 0.000 0.000
```



4.
DFT (GGA-PBEsol) results for a relaxed TbCdF6 crystal. Values from VASP.

Calculated values
Its space group is P4_2/m. The value obtained for the total energy is -80.3 eV/cell. As for the raw formation energy: -2.795 eV per atom.

Cell and atoms, written as Quantum ESPRESSO input:
```
&SYSTEM
  ibrav = 0, nat = 16, ntyp = 3
/
ATOMIC_SPECIES
Tb 158.93 Tb.upf
Cd 112.41 Cd.upf
F 19.00 F.upf
CELL_PARAMETERS angstrom
5.222 0.000 0.000
0.000 5.222 0.000
0.000 0.000 7.669
ATOMIC_POSITIONS angstrom
Tb 0.000 0.000 1.917
Tb 0.000 0.000 5.752
Cd 2.611 2.611 0.000
Cd 2.611 2.611 3.835
F 0.733 4.129 0.000
F 1.093 0.733 3.835
F 1.203 3.462 2.496
F 1.203 3.462 5.173
F 1.760 1.203 1.338
F 1.760 1.203 6.331
F 3.462 4.019 1.338
F 3.462 4.019 6.331
F 4.019 1.760 2.496
F 4.019 1.760 5.173
F 4.129 4.489 3.835
F 4.489 1.093 0.000
```



5.
DFT (GGA-PBEsol) results for a relaxed AlFeSnSb2 crystal. Values from VASP.

Calculated values
Its space group is P4/mmm. The value obtained for the total energy is -19.4 eV/cell. As for the raw formation energy: 1.412 eV per atom.

Cell and atoms, written as Quantum ESPRESSO input:
```
&SYSTEM
  ibrav = 0, nat = 5, ntyp = 4
/
ATOMIC_SPECIES
Al 26.98 Al.upf
Fe 55.84 Fe.upf
Sn 118.71 Sn.upf
Sb 121.76 Sb.upf
CELL_PARAMETERS angstrom
5.568 0.000 0.000
0.000 5.568 0.000
0.000 0.000 5.019
ATOMIC_POSITIONS angstrom
Al 0.000 0.000 0.000
Fe 2.784 2.784 0.000
Sn 0.000 0.000 2.509
Sb 0.000 2.784 2.509
Sb 2.784 0.000 2.509
```



6.
DFT (GGA-PBEsol) results for a relaxed Zn3NiAu crystal. Values from VASP.

Calculated values
As for the energy of formation from the pure elements: 3.938 eV/f.u. Its space group is Pm-3m. The value obtained for the total energy is -10.9 eV/cell.

Cell and atoms, written as Quantum ESPRESSO input:
```
&SYSTEM
  ibrav = 0, nat = 5, ntyp = 3
/
ATOMIC_SPECIES
Zn 65.41 Zn.upf
Ni 58.69 Ni.upf
Au 196.97 Au.upf
CELL_PARAMETERS angstrom
4.724 0.000 0.000
0.000 4.724 0.000
0.000 0.000 4.724
ATOMIC_POSITIONS angstrom
Zn 0.000 0.000 2.362
Zn 0.000 2.362 0.000
Zn 2.362 0.000 0.000
Ni 2.362 2.362 2.362
Au 0.000 0.000 0.000
```



7.
DFT (GGA-PBEsol) results for a relaxed SrZnMo2 crystal. Values from VASP.

Calculated values
As for the energy of formation from the pure elements: 4.007 eV/f.u. Its space group is I4/mmm. The value obtained for the total energy is -23.0 eV/cell.

Cell and atoms, written as Quantum ESPRESSO input:
```
&SYSTEM
  ibrav = 0, nat = 4, ntyp = 3
/
ATOMIC_SPECIES
Sr 87.62 Sr.upf
Zn 65.41 Zn.upf
Mo 95.94 Mo.upf
CELL_PARAMETERS angstrom
-1.973 1.973 4.840
1.973 -1.973 4.840
1.973 1.973 -4.840
ATOMIC_POSITIONS angstrom
Sr 0.000 0.000 0.000
Zn 0.000 0.000 4.840
Mo 1.973 0.000 2.420
Mo 0.000 1.973 2.420
```



8.
DFT (GGA-PBEsol) results for a relaxed SrSiSb2N crystal. Values from VASP.

Calculated values
Its space group is P4/mmm. The value obtained for the total energy is -24.8 eV/cell. As for the raw formation energy: 0.089 eV per atom.

Cell and atoms, written as Quantum ESPRESSO input:
```
&SYSTEM
  ibrav = 0, nat = 5, ntyp = 4
/
ATOMIC_SPECIES
Sr 87.62 Sr.upf
Si 28.09 Si.upf
Sb 121.76 Sb.upf
N 14.01 N.upf
CELL_PARAMETERS angstrom
4.665 0.000 0.000
0.000 4.665 0.000
0.000 0.000 4.955
ATOMIC_POSITIONS angstrom
Sr 0.000 0.000 0.000
Si 2.333 2.333 0.000
Sb 0.000 2.333 2.478
Sb 2.333 0.000 2.478
N 0.000 0.000 2.478
```



It is found that the V values, taken in the order of the records, are 20.808, 32.896, 23.481, 13.071, 31.116, 21.084, 18.845, 21.569 A^3/atom.
It is found that the M_tot values, taken in the order of the records, are 1.36, 0.00, 0.00, 1.10, 3.36, 0.60, 0.00, 0.00 μB/f.u..